## FeMo2H7O11 (PBE+U)

Data for a geometry-optimized FeMo2H7O11 structure.

Calculated values
D(E_F)   0.00 states/eV per cell
Total energy   -5.93 eV per atom
Symmetry   No. 1

Cell lengths 6.281, 8.056, 11.214 Å; angles 100.46, 78.71, 66.45 degrees
Site moments in Bohr magnetons follow the coordinates.
Fractional positions:
Fe 0.261 0.492 0.255  4.38
Fe 0.761 0.492 0.755  4.38
Mo 0.865 0.796 0.568  0.05
Mo 0.365 0.796 0.068  0.05
Mo 0.609 0.217 0.940  0.04
Mo 0.109 0.217 0.440  0.04
H 0.586 0.407 0.575  0.00
H 0.086 0.407 0.075  0.00
H 0.571 0.267 0.653  0.00
H 0.071 0.267 0.153  0.00
H 0.614 0.502 0.363  0.00
H 0.114 0.502 0.863  0.00
H 0.425 0.718 0.365  0.00
H 0.925 0.718 0.865  0.00
H 0.874 0.032 0.194  0.00
H 0.374 0.032 0.694  0.00
H 0.583 0.133 0.285  0.00
H 0.083 0.133 0.785  0.00
H 0.202 0.914 0.689  0.00
H 0.702 0.914 0.189  0.00
O 0.548 0.400 0.663  0.06
O 0.048 0.400 0.163  0.06
O 0.479 0.580 0.334  0.06
O 0.979 0.580 0.834  0.06
O 0.624 0.032 0.610  0.01
O 0.124 0.032 0.110  0.01
O 0.243 0.969 0.392  -0.01
O 0.743 0.969 0.892  -0.01
O 0.242 0.009 0.746  0.00
O 0.742 0.009 0.246  0.00
O 0.968 0.679 0.398  0.07
O 0.468 0.679 0.898  0.07
O 0.236 0.667 0.148  0.06
O 0.736 0.667 0.648  0.06
O 0.058 0.296 0.610  0.05
O 0.558 0.296 0.110  0.05
O 0.817 0.292 0.847  0.06
O 0.317 0.292 0.347  0.06
O 0.116 0.796 0.616  0.01
O 0.616 0.796 0.116  0.01
O 0.823 0.314 0.411  0.02
O 0.323 0.314 0.911  0.02